(1)
This record from the Alexandria database describes a geometry-optimized LaPt2Rh2 structure. The functional is GGA-PBE.

Cell: 4.0331 4.0331 23.8444 Å, 90.00 90.00 90.00°
Space group I4/mmm (No. 139)
Asymmetric unit:
La (0.0000, 0.0000, 0.1182) [4 per cell]
Pt (0.0000, 0.0000, 0.3220) [4 per cell]
Pt (0.0000, 0.5000, 0.0000) [4 per cell]
Rh (0.0000, 0.0000, 0.4259) [4 per cell]
Rh (0.0000, 0.5000, 0.2500) [4 per cell]

## Properties
- final energy (eV/cell) = -135.1
- calculated formation energy (eV per atom) = -0.4123
- total moment (μB per atom) = 0.000
- distance to the lowest polymorph of the same formula (eV per formula unit) = 0.01

=====

(2)
This record from the Alexandria database describes a geometry-optimized LaPt2Rh2 structure. The functional is GGA-PBE.

Cell: 7.3500 7.3500 3.3708 Å, 90.00 90.00 90.00°
Space group P4/mbm (No. 127)
Asymmetric unit:
La (0.0000, 0.0000, 0.0000) [2 per cell]
Pt (0.1697, 0.3303, 0.5000) [4 per cell]
Rh (0.1278, 0.6278, 0.0000) [4 per cell]

## Properties
- final energy (eV/cell) = -67.2
- calculated formation energy (eV per atom) = -0.3816
- total moment (μB per atom) = 0.000
- distance to the lowest polymorph of the same formula (eV per formula unit) = 0.17

=====

(3)
This record from the Alexandria database describes a geometry-optimized La8PtRh2 structure. The functional is GGA-PBE.

Cell: 8.3287 13.3005 6.6410 Å, 90.00 110.88 90.00°
Space group Cm (No. 8)
Asymmetric unit:
La (0.0000, 0.0000, 0.0000) [2 per cell]
La (0.0707, 0.3646, 0.8210) [4 per cell]
La (0.1241, 0.1351, 0.5752) [4 per cell]
La (0.1936, 0.5000, 0.3884) [2 per cell]
La (0.3626, 0.2038, 0.1970) [4 per cell]
Pt (0.3386, 0.0000, 0.9689) [2 per cell]
Rh (0.3429, 0.3150, 0.6913) [4 per cell]

## Properties
- final energy (eV/cell) = -130.3
- calculated formation energy (eV per atom) = -0.4549
- total moment (μB per atom) = 0.000

=====

(4)
This record from the Alexandria database describes a geometry-optimized La4PtRh3 structure. The functional is GGA-PBE.

Cell: 4.0043 4.3118 11.2459 Å, 90.00 90.00 90.00°
Space group Pmm2 (No. 25)
Asymmetric unit:
La (0.0000, 0.0000, 0.0000) [1 per cell]
La (0.0000, 0.5000, 0.2709) [1 per cell]
La (0.5000, 0.0000, 0.4919) [1 per cell]
La (0.5000, 0.5000, 0.7726) [1 per cell]
Pt (0.0000, 0.0000, 0.7194) [1 per cell]
Rh (0.0000, 0.5000, 0.5400) [1 per cell]
Rh (0.5000, 0.0000, 0.2237) [1 per cell]
Rh (0.5000, 0.5000, 0.0391) [1 per cell]

## Properties
- final energy (eV/cell) = -54.8
- calculated formation energy (eV per atom) = -0.8700
- total moment (μB per atom) = 0.000

=====

(5)
This record from the Alexandria database describes a geometry-optimized La3PtRh structure. The functional is GGA-PBE.

Cell: 8.6566 4.0346 8.6902 Å, 90.00 102.93 90.00°
Space group P2_1/m (No. 11)
Asymmetric unit:
La (0.0110, 0.2500, 0.2060) [2 per cell]
La (0.3208, 0.7500, 0.5779) [2 per cell]
La (0.3653, 0.7500, 0.1064) [2 per cell]
Pt (0.2629, 0.2500, 0.8340) [2 per cell]
Rh (0.3320, 0.2500, 0.3357) [2 per cell]

## Properties
- final energy (eV/cell) = -64.3
- calculated formation energy (eV per atom) = -0.7994
- total moment (μB per atom) = 0.000
- distance to the lowest polymorph of the same formula (eV per formula unit) = 0.00

=====

(6)
This record from the Alexandria database describes a geometry-optimized La2PtRh structure. The functional is GGA-PBE.

Cell: 5.1134 5.1134 3.6475 Å, 90.00 90.00 90.00°
Space group P4/mmm (No. 123)
Asymmetric unit:
La (0.0000, 0.5000, 0.0000) [2 per cell]
Pt (0.0000, 0.0000, 0.5000) [1 per cell]
Rh (0.5000, 0.5000, 0.5000) [1 per cell]

## Properties
- final energy (eV/cell) = -26.8
- calculated formation energy (eV per atom) = -0.8901
- total moment (μB per atom) = 0.000